Here is a geometry-optimized RePbAu2 structure from Alexandria via LeMat-Bulk. Energies are from PBE-GGA.

abc: 5.414 5.414 5.414
angles: 135.07 135.07 65.42
Sites, in units of the cell vectors:
Re 0.000 0.000 0.000
Pb 0.500 0.500 0.000
Au 0.250 0.750 0.500
Au 0.750 0.250 0.500

Properties
**Crystal system**: tetragonal
**Space group**: I4/mmm (139)
**DOS at the Fermi energy**: 0.584 states/eV/atom
**M_tot**: 2.426 μB per cell
**Calculated volume**: 19.50 Å³ per atom

=====

Here is a geometry-optimized Ta2CrAs structure from Alexandria via LeMat-Bulk. Energies are from PBE-GGA.

abc: 4.521 4.521 3.192
angles: 90.00 90.00 103.96
Sites, in units of the cell vectors:
Ta 0.000 0.500 0.000
Ta 0.500 0.000 0.000
Cr 0.000 0.000 0.500
As 0.500 0.500 0.500

Properties
**Crystal system**: orthorhombic
**Space group**: Cmmm (65)
**DOS at the Fermi energy**: 0.854 states/eV/atom
**M_tot**: 0.449 μB per cell
**Calculated volume**: 15.83 Å³ per atom

=====

Here is a geometry-optimized SrLiAcCu structure from Alexandria via LeMat-Bulk. Energies are from PBE-GGA.

abc: 5.521 5.521 5.521
angles: 60.00 60.00 60.00
Sites, in units of the cell vectors:
Sr 0.000 0.000 0.000
Li 0.750 0.750 0.750
Ac 0.500 0.500 0.500
Cu 0.250 0.250 0.250

Properties
**Crystal system**: cubic
**Space group**: F-43m (216)
**DOS at the Fermi energy**: 0.553 states/eV/atom
**M_tot**: 0.000 μB per cell
**Calculated volume**: 29.75 Å³ per atom

=====

Here is a geometry-optimized Ce2Ga6Rh structure from Alexandria via LeMat-Bulk. Energies are from PBE-GGA.

abc: 8.218 8.218 3.145
angles: 90.00 90.00 120.00
Sites, in units of the cell vectors:
Ce 0.333 0.667 0.000
Ce 0.667 0.333 0.000
Ga 0.000 0.251 0.000
Ga 0.000 0.672 0.500
Ga 0.251 0.000 0.000
Ga 0.328 0.328 0.500
Ga 0.672 0.000 0.500
Ga 0.749 0.749 0.000
Rh 0.000 0.000 0.500

Properties
**Crystal system**: hexagonal
**Space group**: P-62m (189)
**DOS at the Fermi energy**: 1.362 states/eV/atom
**M_tot**: 1.941 μB per cell
**Calculated volume**: 20.44 Å³ per atom

=====

Here is a geometry-optimized Tb5PrSmY2 structure from Alexandria via LeMat-Bulk. Energies are from PBE-GGA.

abc: 10.370 10.370 10.653
angles: 90.00 90.00 148.30
Sites, in units of the cell vectors:
Tb 0.018 0.982 0.500
Tb 0.282 0.718 0.784
Tb 0.298 0.702 0.181
Tb 0.391 0.609 0.497
Tb 0.478 0.522 0.211
Tb 0.522 0.478 0.711
Tb 0.609 0.391 0.997
Tb 0.702 0.298 0.681
Tb 0.718 0.282 0.284
Tb 0.982 0.018 0.000
Pr 0.417 0.583 0.925
Pr 0.583 0.417 0.425
Sm 0.202 0.798 0.485
Sm 0.798 0.202 0.985
Y 0.111 0.889 0.207
Y 0.114 0.886 0.795
Y 0.886 0.114 0.295
Y 0.889 0.111 0.707

Properties
**Crystal system**: orthorhombic
**Space group**: Cmc2_1 (36)
**DOS at the Fermi energy**: 1.618 states/eV/atom
**M_tot**: 0.000 μB per cell
**Calculated volume**: 33.44 Å³ per atom

=====

Here is a geometry-optimized La2ScUP4 structure from Alexandria via LeMat-Bulk. Energies are from PBE-GGA.

abc: 6.964 4.045 7.074
angles: 90.00 109.13 90.00
Sites, in units of the cell vectors:
La 0.000 0.000 0.000
La 0.500 0.500 0.000
Sc 0.000 0.500 0.500
U 0.500 0.000 0.500
P 0.240 0.000 0.720
P 0.256 0.500 0.277
P 0.744 0.500 0.723
P 0.760 0.000 0.280

Properties
**Crystal system**: monoclinic
**Space group**: P2/m (10)
**DOS at the Fermi energy**: 0.908 states/eV/atom
**M_tot**: 1.949 μB per cell
**Calculated volume**: 23.53 Å³ per atom

=====

Raw total energy values, unit eV/f.u., following the record order: -19.49; -38.04; -11.57; -40.07; -44.20; -60.03.